[1]
# EuGdTlRh PBE optimized geometry
# * final energy: -0.326 hartree per atom
# * space-group type: F-43m (216)
# * N(E_F): 2.232 states/eV/atom
data_EuGdTlRh
_chemical_formula_sum 'Eu1 Gd1 Tl1 Rh1'
_space_group_name_H-M_alt 'P 1'
_space_group_IT_number 1
_cell_length_a 5.2235
_cell_length_b 5.2235
_cell_length_c 5.2235
_cell_angle_alpha 60.00
_cell_angle_beta 60.00
_cell_angle_gamma 60.00
loop_
_space_group_symop_operation_xyz
'x,y,z'
loop_
_atom_site_label
_atom_site_type_symbol
_atom_site_fract_x
_atom_site_fract_y
_atom_site_fract_z
Eu1 Eu 0.2500 0.2500 0.2500
Tl1 Tl 0.0000 0.0000 0.0000
Gd1 Gd 0.7500 0.7500 0.7500
Rh1 Rh 0.5000 0.5000 0.5000

[2]
# LiZrS2N PBE optimized geometry
# * energy above the lowest structure with this stoichiometry: 0.000 eV/atom
# * E_form (uncorrected): -0.460 eV per atom
# * final energy: -0.216 hartree per atom
# * space-group type: P4/mmm (123)
# * N(E_F): 0.394 states/eV/atom
data_LiZrS2N
_chemical_formula_sum 'Li1 Zr1 S2 N1'
_space_group_name_H-M_alt 'P 1'
_space_group_IT_number 1
_cell_length_a 5.0681
_cell_length_b 5.0681
_cell_length_c 4.2521
_cell_angle_alpha 90.00
_cell_angle_beta 90.00
_cell_angle_gamma 90.00
loop_
_space_group_symop_operation_xyz
'x,y,z'
loop_
_atom_site_label
_atom_site_type_symbol
_atom_site_fract_x
_atom_site_fract_y
_atom_site_fract_z
S1 S 0.0000 0.5000 0.0000
S2 S 0.5000 0.0000 0.0000
Li1 Li 0.5000 0.5000 0.5000
Zr1 Zr 0.0000 0.0000 0.0000
N1 N 0.0000 0.0000 0.5000

[3]
# Hf2TlW PBE optimized geometry
# * energy above the lowest structure with this stoichiometry: 0.183 eV/atom
# * final energy: -0.317 hartree per atom
# * space-group type: Fm-3m (225)
# * N(E_F): 0.567 states/eV/atom
data_Hf2TlW
_chemical_formula_sum 'Hf2 Tl1 W1'
_space_group_name_H-M_alt 'P 1'
_space_group_IT_number 1
_cell_length_a 4.8493
_cell_length_b 4.8493
_cell_length_c 4.8493
_cell_angle_alpha 60.00
_cell_angle_beta 60.00
_cell_angle_gamma 60.00
loop_
_space_group_symop_operation_xyz
'x,y,z'
loop_
_atom_site_label
_atom_site_type_symbol
_atom_site_fract_x
_atom_site_fract_y
_atom_site_fract_z
Tl1 Tl 0.5000 0.5000 0.5000
Hf1 Hf 0.2500 0.2500 0.2500
Hf2 Hf 0.7500 0.7500 0.7500
W1 W 0.0000 0.0000 0.0000